K2LiZr | Alexandria | GGA-PBEsol | optimized geometry; final energy = -2.720 eV per atom; DFT formation energy = 0.61 eV per atom; SG = Pm (6)
1.0
3.2787 0.0000 0.0000
0.0000 3.4555 0.0161
0.0000 -0.0237 12.0572
K Li Zr
2 1 1
Direct
0.0000 0.9963 0.9597 K
0.5000 0.5030 0.3043 K
0.0000 0.0013 0.5389 Li
0.5000 0.4994 0.6972 Zr